1.
First-principles (PBE-GGA) data for Tc2BC after structural relaxation, as listed in the Alexandria database.

a = 5.8363 Å, b = 5.8363 Å, c = 5.8363 Å
α = 133.64°, β = 133.64°, γ = 67.65°
Positions (direct):
Tc 0.1099 0.6250 0.9849
Tc 0.3750 0.3599 0.4849
Tc 0.6401 0.1250 0.0151
Tc 0.8750 0.8901 0.5151
B 0.2500 0.7500 0.5000
B 0.5000 0.5000 0.0000
C 0.0000 0.0000 0.0000
C 0.7500 0.2500 0.5000

Output
Final energy, eV per atom: -8.530
Fermi-level density of states, states/eV/atom: 1.116
V, Å³/f.u.: 51
Formation enthalpy at 0 K, eV/atom: 0.63
Offset from the most stable computed form, meV/atom: 34

2.
First-principles (PBE-GGA) data for Cs2RbInAs2 after structural relaxation, as listed in the Alexandria database.

a = 9.7984 Å, b = 9.7984 Å, c = 9.7984 Å
α = 130.40°, β = 68.11°, γ = 136.44°
Positions (direct):
Cs 0.1777 0.2158 0.3935
Cs 0.3223 0.7158 0.0381
Cs 0.6777 0.2842 0.9619
Cs 0.8223 0.7842 0.6065
Rb 0.2500 0.7500 0.5000
Rb 0.7500 0.2500 0.5000
In 0.2500 0.2500 0.0000
In 0.7500 0.7500 0.0000
As 0.0904 0.8159 0.9064
As 0.4096 0.3159 0.7255
As 0.5904 0.6841 0.2745
As 0.9096 0.1841 0.0936

Output
Final energy, eV per atom: -2.900
V, Å³/f.u.: 243
Formation enthalpy at 0 K, eV/atom: -0.45